(1)
VBiCl2: relaxed, PBE.

Cell lengths 8.445, 8.445, 6.597 Å; angles 50.20, 50.20, 90.00 degrees
Positions (direct):
V (0.250, 0.750, 0.500)
V (0.500, 0.500, 0.000)
Cl (0.499, 0.125, 0.250)
Cl (0.251, 0.625, 0.250)
Cl (0.375, 0.501, 0.750)
Cl (0.875, 0.749, 0.750)
Bi (0.000, 0.000, 0.000)
Bi (0.750, 0.250, 0.500)

Summary:
SG: I-42d
raw formation energy: -0.30 eV per atom
VASP energy: -35.785 eV per cell
energy relative to the lowest polymorph listed for this composition: 339.9 meV/atom


(2)
Gd2PdF: relaxed, PBE.

Cell lengths 4.055, 4.055, 6.518 Å; angles 71.88, 71.88, 60.00 degrees
Positions (direct):
Pd (0.500, 0.500, 0.500)
Gd (0.745, 0.745, 0.766)
Gd (0.255, 0.255, 0.234)
F (0.000, 0.000, 0.000)

Summary:
SG: R-3m
raw formation energy: -1.55 eV per atom
VASP energy: -41.412 eV per cell


(3)
K2NaSe: relaxed, PBE.

Cell lengths 5.325, 5.325, 11.829 Å; angles 76.99, 76.99, 90.00 degrees
Positions (direct):
K (0.677, 0.125, 0.250)
K (0.073, 0.625, 0.250)
K (0.875, 0.927, 0.750)
K (0.375, 0.323, 0.750)
Na (0.500, 0.500, 0.000)
Na (0.250, 0.750, 0.500)
Se (0.000, 0.000, 0.000)
Se (0.750, 0.250, 0.500)

Summary:
SG: I-42d
raw formation energy: -0.38 eV per atom
VASP energy: -17.004 eV per cell


(4)
Li5Cu2Ir: relaxed, PBE.

Cell lengths 4.342, 5.159, 9.911 Å; angles 90.00, 90.00, 90.00 degrees
Positions (direct):
Li (0.500, 0.832, 0.132)
Li (0.000, 0.846, 0.755)
Li (0.000, 0.500, 0.500)
Li (0.500, 0.668, 0.632)
Li (0.000, 0.346, 0.745)
Li (0.000, 0.654, 0.255)
Li (0.000, 0.154, 0.245)
Li (0.500, 0.168, 0.868)
Li (0.000, 0.000, 0.000)
Li (0.500, 0.332, 0.368)
Cu (0.500, 0.346, 0.104)
Cu (0.500, 0.654, 0.896)
Cu (0.500, 0.846, 0.396)
Cu (0.500, 0.154, 0.604)
Ir (0.000, 0.000, 0.500)
Ir (0.000, 0.500, 0.000)

Summary:
SG: Pbam
calculated formation energy: -0.055 eV/atom
VASP energy: -54.117 eV per cell